Ac3Ni2Sn | PBE | optimized geometry

abc: 7.990 7.990 7.990
angles: 61.49 61.49 61.49
Atoms (fractional coordinates):
Ac 0.467 0.033 0.750
Ac 0.033 0.750 0.467
Ac 0.750 0.467 0.033
Ac 0.533 0.967 0.250
Ac 0.967 0.250 0.533
Ac 0.250 0.533 0.967
Ni 0.360 0.360 0.360
Ni 0.140 0.140 0.140
Ni 0.860 0.860 0.860
Ni 0.640 0.640 0.640
Sn 0.500 0.500 0.500
Sn 0.000 0.000 0.000

Spin magnetization ... 0.000 μB/f.u.
Energy relative to the elements ... -256 meV per atom
Total DFT energy (no corrections) ... -4.9048 eV per atom
Crystal system ... trigonal